(1)
Here is a relaxed structure of HgP2O from Alexandria. Energies are from PBE.

Results
* theoretical density: 7.64 g/cm³
* energy above the most stable polymorph in this dataset: 721 meV/atom
* Fermi-level density of states: 0.64 states/eV/atom
* raw formation energy: 3.5 eV/f.u.
* VASP energy: -12.6 eV per formula unit

Cell: 6.232 6.232 6.232 Å, 90.00 90.00 90.00°
Space group Fm-3m (No. 225)
Inequivalent atoms, fractional coordinates:
Hg (0.000, 0.000, 0.000) x4
P (0.250, 0.250, 0.250) x8
O (0.000, 0.000, 0.500) x4

(2)
Here is a relaxed structure of Sr2TaTlAu from Alexandria. Energies are from PBE.

Results
* calculated formation energy: 0.846 eV/atom
* theoretical density: 6.57 g/cm³
* Fermi-level density of states: 1.12 states/eV/atom
* VASP energy: -16.6 eV per formula unit

Cell: 6.015 6.015 5.291 Å, 90.00 90.00 90.00°
Space group P4/mmm (No. 123)
Inequivalent atoms, fractional coordinates:
Sr (0.000, 0.500, 0.000) x2
Ta (0.000, 0.000, 0.000) x1
Tl (0.000, 0.000, 0.500) x1
Au (0.500, 0.500, 0.500) x1